Record 1
First-principles (meta-GGA SCAN) data for a PBEsol-optimized structure of Li2SnAu, as listed in Alexandria via LeMat-Bulk.

a b c (Å): 4.5487 4.5487 4.5487
angles (deg): 60.00 60.00 60.00
Closest atoms and distances in Å follow each position.
Sites, in units of the cell vectors:
1 Li 0.0000 0.0000 0.0000  4 Sn 2.79, 4 Li 2.79
2 Li 0.2500 0.2500 0.2500  4 Li 2.79, 4 Au 2.79
3 Sn 0.7500 0.7500 0.7500  4 Li 2.79, 4 Au 2.79
4 Au 0.5000 0.5000 0.5000  4 Sn 2.79, 4 Li 2.79

Output
Calculated total energy, eV per formula unit: -112.48
Formation energy, eV per atom: -0.657
Volume, Å³/cell: 66.5

=====

Record 2
First-principles (meta-GGA SCAN) data for a PBEsol-optimized structure of AgBi3Cl, as listed in Alexandria via LeMat-Bulk.

a b c (Å): 5.4127 5.4127 5.4127
angles (deg): 90.00 90.00 90.00
Closest atoms and distances in Å follow each position.
Sites, in units of the cell vectors:
1 Ag 0.0000 0.0000 0.0000  12 Bi 3.83
2 Bi 0.0000 0.5000 0.5000  2 Cl 2.71
3 Bi 0.5000 0.0000 0.5000  2 Cl 2.71
4 Bi 0.5000 0.5000 0.0000  2 Cl 2.71
5 Cl 0.5000 0.5000 0.5000  6 Bi 2.71

Output
Calculated total energy, eV per formula unit: -270.55
Volume, Å³/cell: 158.6
ΔE_f (raw), meV per atom: 906

=====

Record 3
First-principles (meta-GGA SCAN) data for a PBEsol-optimized structure of Zn3As2O6, as listed in Alexandria via LeMat-Bulk.

a b c (Å): 8.2645 5.2042 15.9601
angles (deg): 90.00 97.24 90.00
Closest atoms and distances in Å follow each position.
Sites, in units of the cell vectors:
1 Zn 0.0110 0.0388 0.3107  4 O 1.95-1.98
2 Zn 0.0110 0.4612 0.8107  4 O 1.95-1.98
3 Zn 0.1090 0.1210 0.0685  4 O 1.95-1.97
4 Zn 0.1090 0.3790 0.5685  4 O 1.95-1.97
5 Zn 0.3696 0.1389 0.2409  4 O 1.94-2.00
6 Zn 0.3696 0.3611 0.7409  4 O 1.94-2.00
7 Zn 0.6304 0.6389 0.2591  4 O 1.94-2.00
8 Zn 0.6304 0.8611 0.7591  4 O 1.94-2.00
9 Zn 0.8910 0.6210 0.4315  4 O 1.95-1.97
10 Zn 0.8910 0.8790 0.9315  4 O 1.95-1.97
11 Zn 0.9890 0.5388 0.1893  4 O 1.95-1.98
12 Zn 0.9890 0.9612 0.6893  4 O 1.95-1.98
13 As 0.2428 0.5328 0.3692  3 O 1.78-1.80
14 As 0.2428 0.9672 0.8692  3 O 1.78-1.80
15 As 0.3330 0.6276 0.1077  3 O 1.80
16 As 0.3330 0.8724 0.6077  3 O 1.80
17 As 0.6670 0.1276 0.3923  3 O 1.80
18 As 0.6670 0.3724 0.8923  3 O 1.80
19 As 0.7572 0.0328 0.1308  3 O 1.78-1.80
20 As 0.7572 0.4672 0.6308  3 O 1.78-1.80
21 O 0.0828 0.6795 0.2980  1 As 1.80, 2 Zn 1.95-1.98
22 O 0.0828 0.8205 0.7980  1 As 1.80, 2 Zn 1.95-1.98
23 O 0.1172 0.0056 0.9514  1 As 1.78, 2 Zn 1.97
24 O 0.1172 0.4944 0.4514  1 As 1.78, 2 Zn 1.97
25 O 0.1360 0.0223 0.6047  1 As 1.80, 2 Zn 1.95
26 O 0.1360 0.4777 0.1047  1 As 1.80, 2 Zn 1.95
27 O 0.2223 0.2132 0.3257  1 As 1.80, 2 Zn 1.96-1.97
28 O 0.2223 0.2868 0.8257  1 As 1.80, 2 Zn 1.96-1.97
29 O 0.2745 0.5631 0.6452  1 As 1.80, 2 Zn 1.94-1.97
30 O 0.2745 0.9369 0.1452  1 As 1.80, 2 Zn 1.94-1.97
31 O 0.4238 0.0048 0.7071  1 As 1.80, 2 Zn 1.95-2.00
32 O 0.4238 0.4952 0.2071  1 As 1.80, 2 Zn 1.95-2.00
33 O 0.5762 0.5048 0.7929  1 As 1.80, 2 Zn 1.95-2.00
34 O 0.5762 0.9952 0.2929  1 As 1.80, 2 Zn 1.95-2.00
35 O 0.7255 0.0631 0.8548  1 As 1.80, 2 Zn 1.94-1.97
36 O 0.7255 0.4369 0.3548  1 As 1.80, 2 Zn 1.94-1.97
37 O 0.7777 0.7132 0.1743  1 As 1.80, 2 Zn 1.96-1.97
38 O 0.7777 0.7868 0.6743  1 As 1.80, 2 Zn 1.96-1.97
39 O 0.8640 0.5223 0.8953  1 As 1.80, 2 Zn 1.95
40 O 0.8640 0.9777 0.3953  1 As 1.80, 2 Zn 1.95
41 O 0.8828 0.5056 0.5486  1 As 1.78, 2 Zn 1.97
42 O 0.8828 0.9944 0.0486  1 As 1.78, 2 Zn 1.97
43 O 0.9172 0.1795 0.2020  1 As 1.80, 2 Zn 1.95-1.98
44 O 0.9172 0.3205 0.7020  1 As 1.80, 2 Zn 1.95-1.98

Output
Calculated total energy, eV per formula unit: -134.92
Volume, Å³/cell: 681.0
E above lowest polymorph, eV per atom: 0.003
ΔE_f (raw), meV per atom: -1510

=====

Record 4
First-principles (meta-GGA SCAN) data for a PBEsol-optimized structure of CaAgW2, as listed in Alexandria via LeMat-Bulk.

a b c (Å): 3.0368 4.5652 5.1826
angles (deg): 90.00 90.00 90.00
Closest atoms and distances in Å follow each position.
Sites, in units of the cell vectors:
1 Ca 0.0000 0.0000 0.0000  4 Ag 2.74, 4 W 3.00, 2 Ca 3.04
2 Ag 0.5000 0.5000 0.0000  4 Ca 2.74, 4 W 3.00, 2 Ag 3.04
3 W 0.0000 0.5000 0.5000  6 W 2.74-3.04, 4 Ag 3.00
4 W 0.5000 0.0000 0.5000  6 W 2.74-3.04, 4 Ca 3.00

Output
Calculated total energy, eV per formula unit: -177.34
Formation energy, eV per atom: 0.766
Volume, Å³/cell: 71.8
E above lowest polymorph, eV per atom: 0.237

=====

Record 5
First-principles (meta-GGA SCAN) data for a PBEsol-optimized structure of FeTeC3, as listed in Alexandria via LeMat-Bulk.

a b c (Å): 3.8249 3.8249 3.8249
angles (deg): 90.00 90.00 90.00
Closest atoms and distances in Å follow each position.
Sites, in units of the cell vectors:
1 Fe 0.0000 0.0000 0.0000  6 C 1.91
2 Te 0.5000 0.5000 0.5000  12 C 2.70
3 C 0.0000 0.0000 0.5000  2 Fe 1.91
4 C 0.0000 0.5000 0.0000  2 Fe 1.91
5 C 0.5000 0.0000 0.0000  2 Fe 1.91

Output
Calculated total energy, eV per formula unit: -74.93
Volume, Å³/cell: 56.0
ΔE_f (raw), meV per atom: 2150

=====

Record 6
First-principles (meta-GGA SCAN) data for a PBEsol-optimized structure of KIn2Ni, as listed in Alexandria via LeMat-Bulk.

a b c (Å): 4.4384 4.4384 4.6496
angles (deg): 90.00 90.00 90.00
Closest atoms and distances in Å follow each position.
Sites, in units of the cell vectors:
1 K 0.0000 0.0000 0.0000  4 Ni 3.14, 8 In 3.21
2 In 0.0000 0.5000 0.5000  4 In 3.14, 4 Ni 3.21, 4 K 3.21
3 In 0.5000 0.0000 0.5000  4 In 3.14, 4 Ni 3.21, 4 K 3.21
4 Ni 0.5000 0.5000 0.0000  4 K 3.14, 8 In 3.21

Output
Calculated total energy, eV per formula unit: -89.36
Formation energy, eV per atom: 0.478
Volume, Å³/cell: 91.6

=====

calculated total energy of number 6 (KIn2Ni)? -89.36 eV per formula unit

=====

Which of these has the highest volume? Zn3As2O6